1.
{"formula": "Li2Ta2CrSe6", "functional": "PBE-GGA", "state": "relaxed", "lattice": [[3.0897, -5.4146, 0.0000], [3.0897, 5.4146, 0.0000], [-1.7345, 0.0000, 6.7269]], "species": ["Li", "Li", "Ta", "Ta", "Cr", "Se", "Se", "Se", "Se", "Se", "Se"], "fractional_positions": [[0.1847, 0.8153, 0.0000], [0.8153, 0.1847, 0.0000], [0.3664, 0.6336, 0.5000], [0.6336, 0.3664, 0.5000], [0.0000, 0.0000, 0.5000], [0.0517, 0.3910, 0.7178], [0.2347, 0.2347, 0.2391], [0.3910, 0.0517, 0.7178], [0.6090, 0.9483, 0.2822], [0.7653, 0.7653, 0.7609], [0.9483, 0.6090, 0.2822]], "formation_energy_uncorrected_ev_per_fu": -9.02, "energy_ev_per_atom": -6.098}

2.
{"formula": "ScRhAu", "functional": "PBE-GGA", "state": "relaxed", "lattice": [[4.6298, 0.0000, 0.0000], [-2.3149, 4.0095, 0.0000], [0.0000, 0.0000, 5.5432]], "species": ["Sc", "Sc", "Rh", "Rh", "Au", "Au"], "fractional_positions": [[0.3333, 0.6667, 0.2500], [0.6667, 0.3333, 0.7500], [0.3333, 0.6667, 0.7500], [0.6667, 0.3333, 0.2500], [0.0000, 0.0000, 0.0000], [0.0000, 0.0000, 0.5000]], "delta_e_f_ev_per_fu": -2.130, "energy_ev_per_atom": -6.364}

3.
{"formula": "CoSbPt2", "functional": "PBE-GGA", "state": "relaxed", "lattice": [[3.9467, 0.0000, 0.0000], [0.0000, 3.9541, 0.0000], [0.0000, 0.0000, 8.1911]], "species": ["Co", "Co", "Sb", "Sb", "Pt", "Pt", "Pt", "Pt"], "fractional_positions": [[0.0000, 0.0000, 0.0000], [0.5000, 0.5000, 0.5000], [0.0000, 0.0000, 0.5000], [0.5000, 0.5000, 0.0000], [0.0000, 0.5000, 0.2493], [0.0000, 0.5000, 0.7507], [0.5000, 0.0000, 0.2507], [0.5000, 0.0000, 0.7493]], "formation_energy_uncorrected_ev_per_fu": -0.22, "energy_ev_per_atom": -5.884}

4.
{"formula": "KTl2Cd", "functional": "PBE-GGA", "state": "relaxed", "lattice": [[3.8100, 0.0000, 0.0000], [0.0000, 3.8100, 0.0000], [0.0000, 0.0000, 8.6074]], "species": ["K", "Tl", "Tl", "Cd"], "fractional_positions": [[0.0000, 0.0000, 0.0000], [0.5000, 0.5000, 0.2954], [0.5000, 0.5000, 0.7046], [0.0000, 0.0000, 0.5000]], "delta_e_f_ev_per_fu": -0.282, "energy_ev_per_atom": -1.757}

5.
{"formula": "TbBeRh", "functional": "PBE-GGA", "state": "relaxed", "lattice": [[3.9258, 0.0000, 0.0000], [-1.9629, 3.3998, 0.0000], [0.0000, 0.0000, 3.9983]], "species": ["Tb", "Be", "Rh"], "fractional_positions": [[0.0000, 0.0000, 0.0000], [0.3333, 0.6667, 0.5000], [0.6667, 0.3333, 0.5000]], "delta_e_f_ev_per_fu": -1.792, "energy_ev_per_atom": -5.833}

6.
{"formula": "Be2MoAu", "functional": "PBE-GGA", "state": "relaxed", "lattice": [[3.4711, 0.0000, 0.0000], [0.0000, 3.4711, 0.0000], [0.0000, 0.0000, 8.5806]], "species": ["Be", "Be", "Be", "Be", "Mo", "Mo", "Au", "Au"], "fractional_positions": [[0.0000, 0.0000, 0.0000], [0.0000, 0.5000, 0.2500], [0.5000, 0.0000, 0.7500], [0.5000, 0.5000, 0.5000], [0.0000, 0.5000, 0.7500], [0.5000, 0.0000, 0.2500], [0.0000, 0.0000, 0.5000], [0.5000, 0.5000, 0.0000]], "delta_e_f_ev_per_fu": 0.976, "energy_ev_per_atom": -5.146}

7.
{"formula": "Ba2MgBr", "functional": "PBE-GGA", "state": "relaxed", "lattice": [[13.8342, 0.0000, 0.0000], [0.0000, 4.2173, 0.0000], [-0.0117, 0.0000, 5.8203]], "species": ["Ba", "Ba", "Ba", "Ba", "Mg", "Mg", "Br", "Br"], "fractional_positions": [[0.0000, 0.0000, 0.0000], [0.2401, 0.5000, 0.4996], [0.5000, 0.5000, 0.0000], [0.7401, 0.0000, 0.4996], [0.4740, 0.0000, 0.5000], [0.9740, 0.5000, 0.5000], [0.2440, 0.0000, 0.9992], [0.7440, 0.5000, 0.9992]], "formation_energy_uncorrected_ev_per_fu": -2.71, "energy_ev_per_atom": -2.455}

8.
{"formula": "TcI2O", "functional": "PBE-GGA", "state": "relaxed", "lattice": [[6.0854, 0.0000, 0.0000], [0.0000, 6.0854, 0.0000], [0.0000, 0.0000, 10.9511]], "species": ["Tc", "Tc", "Tc", "Tc", "I", "I", "I", "I", "I", "I", "I", "I", "O", "O", "O", "O"], "fractional_positions": [[0.0000, 0.0000, 0.0000], [0.0000, 0.5000, 0.2500], [0.5000, 0.0000, 0.7500], [0.5000, 0.5000, 0.5000], [0.2489, 0.2500, 0.6250], [0.2500, 0.7489, 0.8750], [0.2500, 0.7511, 0.3750], [0.2511, 0.2500, 0.1250], [0.7489, 0.7500, 0.1250], [0.7500, 0.2489, 0.3750], [0.7500, 0.2511, 0.8750], [0.7511, 0.7500, 0.6250], [0.0000, 0.0000, 0.5000], [0.0000, 0.5000, 0.7500], [0.5000, 0.0000, 0.2500], [0.5000, 0.5000, 0.0000]], "formation_energy_uncorrected_ev_per_fu": 2.66, "energy_ev_per_atom": -3.942}

Please write out number 4 again, unchanged.
{"formula": "KTl2Cd", "functional": "PBE-GGA", "state": "relaxed", "lattice": [[3.8100, 0.0000, 0.0000], [0.0000, 3.8100, 0.0000], [0.0000, 0.0000, 8.6074]], "species": ["K", "Tl", "Tl", "Cd"], "fractional_positions": [[0.0000, 0.0000, 0.0000], [0.5000, 0.5000, 0.2954], [0.5000, 0.5000, 0.7046], [0.0000, 0.0000, 0.5000]], "delta_e_f_ev_per_fu": -0.282, "energy_ev_per_atom": -1.757}